[1]
Density functional theory data (PBE) for a relaxed Nd3ErRh2 crystal.

```
Nd3ErRh2
1.0
8.271 -2.144 0.000
8.271 2.144 0.000
-5.083 0.000 9.953
Nd Er Rh
6 2 4
Cartesian
-0.270 0.000 2.219 Nd
0.492 0.000 5.979 Nd
0.610 0.000 9.752 Nd
10.850 0.000 0.201 Nd
10.968 0.000 3.974 Nd
11.730 0.000 7.734 Nd
5.353 0.000 3.351 Er
6.107 0.000 6.602 Er
-1.932 0.000 8.302 Rh
3.431 0.000 5.733 Rh
8.028 0.000 4.220 Rh
13.391 0.000 1.651 Rh
```

Results
Fermi-level density of states (states/eV per atom): 0.791
Crystal system: monoclinic
SG: No. 12
Formation enthalpy at 0 K (kJ per mole of atoms): -50.8
E (eV/atom): -6.121

=====

[2]
Density functional theory data (PBE) for a relaxed Dy3Ge13Ir4 crystal.

```
Dy3Ge13Ir4
1.0
9.043 0.000 0.000
0.000 9.043 0.000
0.000 0.000 9.043
Dy Ge Ir
6 26 8
Cartesian
0.000 2.261 4.522 Dy
0.000 6.783 4.522 Dy
2.261 4.522 0.000 Dy
4.522 0.000 2.261 Dy
4.522 0.000 6.783 Dy
6.783 4.522 0.000 Dy
0.000 0.000 0.000 Ge
0.000 2.784 1.312 Ge
0.000 2.784 7.731 Ge
0.000 6.259 1.312 Ge
0.000 6.259 7.731 Ge
1.312 0.000 2.784 Ge
1.312 0.000 6.259 Ge
1.738 4.522 3.210 Ge
1.738 4.522 5.834 Ge
2.784 1.312 0.000 Ge
2.784 7.731 0.000 Ge
3.210 1.738 4.522 Ge
3.210 7.306 4.522 Ge
4.522 3.210 1.738 Ge
4.522 3.210 7.306 Ge
4.522 4.522 4.522 Ge
4.522 5.834 1.738 Ge
4.522 5.834 7.306 Ge
5.834 1.738 4.522 Ge
5.834 7.306 4.522 Ge
6.259 1.312 0.000 Ge
6.259 7.731 0.000 Ge
7.306 4.522 3.210 Ge
7.306 4.522 5.834 Ge
7.731 0.000 2.784 Ge
7.731 0.000 6.259 Ge
2.261 2.261 2.261 Ir
2.261 2.261 6.783 Ir
2.261 6.783 2.261 Ir
2.261 6.783 6.783 Ir
6.783 2.261 2.261 Ir
6.783 2.261 6.783 Ir
6.783 6.783 2.261 Ir
6.783 6.783 6.783 Ir
```

Results
Fermi-level density of states (states/eV per atom): 0.323
Crystal system: cubic
SG: No. 223
Formation enthalpy at 0 K (kJ per mole of atoms): -49.7
E (eV/atom): -5.979

=====

[3]
Density functional theory data (PBE) for a relaxed Cs2Cd2F5 crystal.

```
Cs2Cd2F5
1.0
6.536 -2.359 0.000
6.536 2.359 0.000
-2.258 0.000 6.807
Cs Cd F
2 2 5
Cartesian
0.614 0.000 2.265 Cs
10.199 0.000 4.543 Cs
4.295 0.000 0.676 Cd
6.518 0.000 6.132 Cd
-0.086 0.000 6.310 F
3.644 0.000 2.790 F
6.536 0.000 0.000 F
7.169 0.000 4.017 F
10.899 0.000 0.498 F
```

Results
Formation energy without anion corrections (eV/f.u.): -19.7
Fermi-level density of states (states/eV per atom): 0.144
Crystal system: monoclinic
SG: No. 12
E (eV/atom): -3.626

=====

[4]
Density functional theory data (PBE) for a relaxed KSb2MoI crystal.

```
KSb2MoI
1.0
5.203 0.000 0.000
0.000 5.203 0.000
0.000 0.000 6.355
K Sb Mo I
1 2 1 1
Cartesian
0.000 0.000 0.000 K
0.000 2.601 3.177 Sb
2.601 0.000 3.177 Sb
2.601 2.601 3.177 Mo
2.601 2.601 0.000 I
```

Results
ΔE to the lowest computed polymorph (meV/atom): 0
Formation energy without anion corrections (eV/f.u.): 0.0
Fermi-level density of states (states/eV per atom): 0.735
Crystal system: tetragonal
SG: No. 123
E (eV/atom): -4.342